Compound: GeSbRu3
Source: Alexandria via LeMat-Bulk
Functional: PBE
Structure: relaxed Values from VASP.

```
&SYSTEM
  ibrav = 0, nat = 5, ntyp = 3
/
ATOMIC_SPECIES
Ge 72.64 Ge.upf
Sb 121.76 Sb.upf
Ru 101.07 Ru.upf
ATOMIC_POSITIONS crystal
Ge 0.0000 0.0000 0.0000
Sb 0.5000 0.5000 0.5000
Ru 0.0000 0.5000 0.5000
Ru 0.5000 0.0000 0.5000
Ru 0.5000 0.5000 0.0000
CELL_PARAMETERS angstrom
4.8552 0.0000 0.0000
0.0000 4.8552 0.0000
0.0000 0.0000 4.8552
```

magnetization	3.22	μB/f.u.
calculated total energy	-5.6997	eV per atom
E_form (uncorrected)	1.614	eV/atom
excess energy over the best structure of this formula in the dataset	0.719	eV/atom

=====

Compound: GeSbRu2
Source: Alexandria via LeMat-Bulk
Functional: PBE
Structure: relaxed Values from VASP.

```
&SYSTEM
  ibrav = 0, nat = 16, ntyp = 3
/
ATOMIC_SPECIES
Ge 72.64 Ge.upf
Sb 121.76 Sb.upf
Ru 101.07 Ru.upf
ATOMIC_POSITIONS crystal
Ge 0.0000 0.0000 0.0000
Ge 0.0000 0.5000 0.2500
Ge 0.5000 0.0000 0.7500
Ge 0.5000 0.5000 0.5000
Sb 0.0000 0.0000 0.5000
Sb 0.0000 0.5000 0.7500
Sb 0.5000 0.0000 0.2500
Sb 0.5000 0.5000 0.0000
Ru 0.2249 0.2500 0.1250
Ru 0.2500 0.7249 0.3750
Ru 0.2500 0.7751 0.8750
Ru 0.2751 0.2500 0.6250
Ru 0.7249 0.7500 0.6250
Ru 0.7500 0.2249 0.8750
Ru 0.7500 0.2751 0.3750
Ru 0.7751 0.7500 0.1250
CELL_PARAMETERS angstrom
5.7536 0.0000 0.0000
0.0000 5.7536 0.0000
0.0000 0.0000 11.4076
```

magnetization	0.00	μB/f.u.
calculated total energy	-6.3403	eV per atom
E_form (uncorrected)	0.483	eV/atom
excess energy over the best structure of this formula in the dataset	0.497	eV/atom

=====

Compound: GeSbRu
Source: Alexandria via LeMat-Bulk
Functional: PBE
Structure: relaxed Values from VASP.

```
&SYSTEM
  ibrav = 0, nat = 12, ntyp = 3
/
ATOMIC_SPECIES
Ge 72.64 Ge.upf
Sb 121.76 Sb.upf
Ru 101.07 Ru.upf
ATOMIC_POSITIONS crystal
Ge 0.0639 0.0000 0.2572
Ge 0.4361 0.5000 0.7428
Ge 0.5639 0.5000 0.2572
Ge 0.9361 0.0000 0.7428
Sb 0.1877 0.0000 0.7388
Sb 0.3123 0.5000 0.2612
Sb 0.6877 0.5000 0.7388
Sb 0.8123 0.0000 0.2612
Ru 0.0961 0.5000 0.9613
Ru 0.4039 0.0000 0.0387
Ru 0.5961 0.0000 0.9613
Ru 0.9039 0.5000 0.0387
CELL_PARAMETERS angstrom
13.7866 0.0000 0.0000
0.0000 3.0946 0.0000
-2.6685 0.0000 5.6379
```

magnetization	0.00	μB/f.u.
calculated total energy	-6.1335	eV per atom
E_form (uncorrected)	-0.128	eV/atom
excess energy over the best structure of this formula in the dataset	0.036	eV/atom

=====

Compound: GeSbRu
Source: Alexandria via LeMat-Bulk
Functional: PBE
Structure: relaxed Values from VASP.

```
&SYSTEM
  ibrav = 0, nat = 6, ntyp = 3
/
ATOMIC_SPECIES
Ge 72.64 Ge.upf
Sb 121.76 Sb.upf
Ru 101.07 Ru.upf
ATOMIC_POSITIONS crystal
Ge 0.0000 0.1123 0.0000
Ge 0.5000 0.8877 0.5000
Sb 0.0000 0.3703 0.3793
Sb 0.5000 0.6297 0.8793
Ru 0.0000 0.7643 0.2058
Ru 0.5000 0.2357 0.7058
CELL_PARAMETERS angstrom
3.1007 0.0000 0.0000
0.0000 6.2293 0.0000
0.0000 0.0000 6.1258
```

magnetization	0.00	μB/f.u.
calculated total energy	-6.1076	eV per atom
E_form (uncorrected)	-0.102	eV/atom
excess energy over the best structure of this formula in the dataset	0.062	eV/atom

=====

Compound: GeSbRu
Source: Alexandria via LeMat-Bulk
Functional: PBE
Structure: relaxed Values from VASP.

```
&SYSTEM
  ibrav = 0, nat = 12, ntyp = 3
/
ATOMIC_SPECIES
Ge 72.64 Ge.upf
Sb 121.76 Sb.upf
Ru 101.07 Ru.upf
ATOMIC_POSITIONS crystal
Ge 0.0000 0.0000 0.0000
Ge 0.2334 0.5000 0.1550
Ge 0.5000 0.5000 0.0000
Ge 0.7334 0.0000 0.1550
Sb 0.1449 0.0000 0.6687
Sb 0.3859 0.5000 0.5110
Sb 0.6449 0.5000 0.6687
Sb 0.8859 0.0000 0.5110
Ru 0.0496 0.5000 0.3299
Ru 0.3385 0.0000 0.8992
Ru 0.5496 0.0000 0.3299
Ru 0.8385 0.5000 0.8992
CELL_PARAMETERS angstrom
12.4083 0.0000 0.0000
0.0000 3.1239 0.0000
-0.3425 0.0000 5.8097
```

magnetization	0.00	μB/f.u.
calculated total energy	-6.0986	eV per atom
E_form (uncorrected)	-0.093	eV/atom
excess energy over the best structure of this formula in the dataset	0.071	eV/atom

=====

Compound: GeSb3Ru
Source: Alexandria via LeMat-Bulk
Functional: PBE
Structure: relaxed Values from VASP.

```
&SYSTEM
  ibrav = 0, nat = 5, ntyp = 3
/
ATOMIC_SPECIES
Ge 72.64 Ge.upf
Sb 121.76 Sb.upf
Ru 101.07 Ru.upf
ATOMIC_POSITIONS crystal
Ge 0.0000 0.0000 0.0000
Sb 0.0000 0.0000 0.5000
Sb 0.0000 0.5000 0.0000
Sb 0.5000 0.0000 0.0000
Ru 0.5000 0.5000 0.5000
CELL_PARAMETERS angstrom
5.1685 0.0000 0.0000
0.0000 5.1685 0.0000
0.0000 0.0000 5.1685
```

magnetization	0.00	μB/f.u.
calculated total energy	-3.9064	eV per atom
E_form (uncorrected)	1.346	eV/atom
excess energy over the best structure of this formula in the dataset	0.811	eV/atom

=====

Compound: GeSbRu
Source: Alexandria via LeMat-Bulk
Functional: PBE
Structure: relaxed Values from VASP.

```
&SYSTEM
  ibrav = 0, nat = 12, ntyp = 3
/
ATOMIC_SPECIES
Ge 72.64 Ge.upf
Sb 121.76 Sb.upf
Ru 101.07 Ru.upf
ATOMIC_POSITIONS crystal
Ge 0.1300 0.0000 0.4664
Ge 0.3700 0.5000 0.5336
Ge 0.6300 0.5000 0.4664
Ge 0.8700 0.0000 0.5336
Sb 0.1159 0.5000 0.8685
Sb 0.3841 0.0000 0.1315
Sb 0.6159 0.0000 0.8685
Sb 0.8841 0.5000 0.1315
Ru 0.1799 0.5000 0.2331
Ru 0.3201 0.0000 0.7669
Ru 0.6799 0.0000 0.2331
Ru 0.8201 0.5000 0.7669
CELL_PARAMETERS angstrom
9.1979 0.0000 0.0000
0.0000 3.2533 0.0000
-1.4591 0.0000 7.5957
```

magnetization	0.00	μB/f.u.
calculated total energy	-6.1626	eV per atom
E_form (uncorrected)	-0.157	eV/atom
excess energy over the best structure of this formula in the dataset	0.007	eV/atom

=====

Compound: GeSbRu
Source: Alexandria via LeMat-Bulk
Functional: PBE
Structure: relaxed Values from VASP.

```
&SYSTEM
  ibrav = 0, nat = 12, ntyp = 3
/
ATOMIC_SPECIES
Ge 72.64 Ge.upf
Sb 121.76 Sb.upf
Ru 101.07 Ru.upf
ATOMIC_POSITIONS crystal
Ge 0.1580 0.0000 0.0442
Ge 0.3420 0.5000 0.9558
Ge 0.6580 0.5000 0.0442
Ge 0.8420 0.0000 0.9558
Sb 0.0841 0.5000 0.3716
Sb 0.4159 0.0000 0.6284
Sb 0.5841 0.0000 0.3716
Sb 0.9159 0.5000 0.6284
Ru 0.1570 0.0000 0.7063
Ru 0.3430 0.5000 0.2937
Ru 0.6570 0.5000 0.7063
Ru 0.8430 0.0000 0.2937
CELL_PARAMETERS angstrom
9.0957 0.0000 0.0000
0.0000 3.6809 0.0000
-3.9964 0.0000 6.6668
```

magnetization	0.00	μB/f.u.
calculated total energy	-6.1694	eV per atom
E_form (uncorrected)	-0.164	eV/atom
excess energy over the best structure of this formula in the dataset	0.000	eV/atom

=====

Compound: GeSbRu
Source: Alexandria via LeMat-Bulk
Functional: PBE
Structure: relaxed Values from VASP.

```
&SYSTEM
  ibrav = 0, nat = 12, ntyp = 3
/
ATOMIC_SPECIES
Ge 72.64 Ge.upf
Sb 121.76 Sb.upf
Ru 101.07 Ru.upf
ATOMIC_POSITIONS crystal
Ge 0.0000 0.2454 0.0000
Ge 0.0000 0.7546 0.0000
Ge 0.5000 0.2546 0.5000
Ge 0.5000 0.7454 0.5000
Sb 0.0000 0.5000 0.2881
Sb 0.0000 0.5000 0.7119
Sb 0.5000 0.0000 0.2119
Sb 0.5000 0.0000 0.7881
Ru 0.0000 0.0000 0.3855
Ru 0.0000 0.0000 0.6145
Ru 0.5000 0.5000 0.1145
Ru 0.5000 0.5000 0.8855
CELL_PARAMETERS angstrom
3.5292 0.0000 0.0000
0.0000 5.1270 0.0000
0.0000 0.0000 12.3097
```

magnetization	0.00	μB/f.u.
calculated total energy	-6.1481	eV per atom
E_form (uncorrected)	-0.143	eV/atom
excess energy over the best structure of this formula in the dataset	0.021	eV/atom

=====

Compound: GeSbRu
Source: Alexandria via LeMat-Bulk
Functional: PBE
Structure: relaxed Values from VASP.

```
&SYSTEM
  ibrav = 0, nat = 12, ntyp = 3
/
ATOMIC_SPECIES
Ge 72.64 Ge.upf
Sb 121.76 Sb.upf
Ru 101.07 Ru.upf
ATOMIC_POSITIONS crystal
Ge 0.0000 0.0506 0.0000
Ge 0.0000 0.9494 0.5000
Ge 0.5000 0.4494 0.5000
Ge 0.5000 0.5506 0.0000
Sb 0.0000 0.1983 0.6589
Sb 0.0000 0.8017 0.1589
Sb 0.5000 0.3017 0.1589
Sb 0.5000 0.6983 0.6589
Ru 0.0000 0.3973 0.8360
Ru 0.0000 0.6027 0.3360
Ru 0.5000 0.1027 0.3360
Ru 0.5000 0.8973 0.8360
CELL_PARAMETERS angstrom
3.0548 0.0000 0.0000
0.0000 12.4309 0.0000
0.0000 0.0000 5.9209
```

magnetization	0.00	μB/f.u.
calculated total energy	-6.1079	eV per atom
E_form (uncorrected)	-0.103	eV/atom
excess energy over the best structure of this formula in the dataset	0.062	eV/atom

=====

Compound: GeSb3Ru
Source: Alexandria via LeMat-Bulk
Functional: PBE
Structure: relaxed Values from VASP.

```
&SYSTEM
  ibrav = 0, nat = 5, ntyp = 3
/
ATOMIC_SPECIES
Ge 72.64 Ge.upf
Sb 121.76 Sb.upf
Ru 101.07 Ru.upf
ATOMIC_POSITIONS crystal
Ge 0.0000 0.0000 0.0000
Sb 0.0000 0.5000 0.5000
Sb 0.5000 0.0000 0.5000
Sb 0.5000 0.5000 0.0000
Ru 0.5000 0.5000 0.5000
CELL_PARAMETERS angstrom
5.1280 0.0000 0.0000
0.0000 5.1280 0.0000
0.0000 0.0000 5.1280
```

magnetization	0.00	μB/f.u.
calculated total energy	-4.7178	eV per atom
E_form (uncorrected)	0.534	eV/atom
excess energy over the best structure of this formula in the dataset	0.000	eV/atom

=====

Compound: GeSb2Ru
Source: Alexandria via LeMat-Bulk
Functional: PBE
Structure: relaxed Values from VASP.

```
&SYSTEM
  ibrav = 0, nat = 16, ntyp = 3
/
ATOMIC_SPECIES
Ge 72.64 Ge.upf
Sb 121.76 Sb.upf
Ru 101.07 Ru.upf
ATOMIC_POSITIONS crystal
Ge 0.0000 0.0000 0.0000
Ge 0.0000 0.5000 0.2500
Ge 0.5000 0.0000 0.7500
Ge 0.5000 0.5000 0.5000
Sb 0.2233 0.2500 0.6250
Sb 0.2500 0.7233 0.8750
Sb 0.2500 0.7767 0.3750
Sb 0.2767 0.2500 0.1250
Sb 0.7233 0.7500 0.1250
Sb 0.7500 0.2233 0.3750
Sb 0.7500 0.2767 0.8750
Sb 0.7767 0.7500 0.6250
Ru 0.0000 0.0000 0.5000
Ru 0.0000 0.5000 0.7500
Ru 0.5000 0.0000 0.2500
Ru 0.5000 0.5000 0.0000
CELL_PARAMETERS angstrom
6.1694 0.0000 0.0000
0.0000 6.1694 0.0000
0.0000 0.0000 11.9406
```

magnetization	0.00	μB/f.u.
calculated total energy	-5.2570	eV per atom
E_form (uncorrected)	0.277	eV/atom